[1]
A plane-wave DFT calculation with PBE was carried out for TmThZr after structural relaxation.

DOS(E_F)   1.5370 states/eV/atom
Calculated density   9.61 g/cm3
Formation energy from the elements   0.0979 eV/atom

Unit cell a=5.9414 b=3.4240 c=17.1003 alpha=102.00 beta=100.28 gamma=29.98
With the nearest neighbours (Å) after each atom.
Sites, in units of the cell vectors:
Th1 0.1651 0.0903 0.5872  9 Th 3.42-3.53, 3 Tm 3.56-3.58
Zr1 0.1596 0.5775 0.0729  9 Zr 3.10-3.43, 3 Tm 3.35-3.37
Zr2 0.8404 0.4225 0.9271  9 Zr 3.10-3.43, 3 Tm 3.35-3.37
Tm1 0.5008 0.2663 0.7646  3 Zr 3.35-3.37, 6 Tm 3.42-3.43, 3 Th 3.56-3.58
Tm2 0.4992 0.7337 0.2354  3 Zr 3.35-3.37, 6 Tm 3.42-3.43, 3 Th 3.56-3.58
Th2 0.8349 0.9097 0.4128  9 Th 3.42-3.53, 3 Tm 3.56-3.58



[2]
A plane-wave DFT calculation with PBE was carried out for Tm2ThZr after structural relaxation.

DOS(E_F)   1.1078 states/eV/atom
Calculated density   9.67 g/cm3
Formation energy from the elements   0.0595 eV/atom

Unit cell a=4.9684 b=4.7799 c=4.7799 alpha=90.00 beta=90.00 gamma=90.00
With the nearest neighbours (Å) after each atom.
Sites, in units of the cell vectors:
Tm1 0.0000 0.0000 0.5000  4 Tm 3.38, 4 Th 3.45, 4 Zr 3.45
Zr1 0.5000 0.0000 0.0000  4 Th 3.38, 8 Tm 3.45
Th1 0.5000 0.5000 0.5000  4 Zr 3.38, 8 Tm 3.45
Tm2 0.0000 0.5000 0.0000  4 Tm 3.38, 4 Th 3.45, 4 Zr 3.45



[3]
A plane-wave DFT calculation with PBE was carried out for Tm2ThZr after structural relaxation.

DOS(E_F)   1.8992 states/eV/atom
Calculated density   9.58 g/cm3
Formation energy from the elements   0.1769 eV/atom

Unit cell a=4.0333 b=4.0333 c=7.0457 alpha=90.00 beta=90.00 gamma=90.00
With the nearest neighbours (Å) after each atom.
Sites, in units of the cell vectors:
Tm1 0.0000 0.0000 0.7674  1 Tm 3.28, 4 Zr 3.29, 4 Th 3.42
Zr1 0.5000 0.5000 0.0000  8 Tm 3.29, 2 Th 3.52
Th1 0.5000 0.5000 0.5000  8 Tm 3.42, 2 Zr 3.52
Tm2 0.0000 0.0000 0.2326  1 Tm 3.28, 4 Zr 3.29, 4 Th 3.42



[4]
A plane-wave DFT calculation with PBE was carried out for TmThZr after structural relaxation.

DOS(E_F)   1.7659 states/eV/atom
Calculated density   9.48 g/cm3
Formation energy from the elements   0.2418 eV/atom

Unit cell a=3.3160 b=8.3726 c=6.2079 alpha=90.00 beta=90.00 gamma=90.00
With the nearest neighbours (Å) after each atom.
Sites, in units of the cell vectors:
Zr1 0.5000 0.8020 0.7500  6 Th 3.28-3.55, 2 Zr 3.32, 4 Tm 3.40
Th1 0.0000 0.8595 0.2500  6 Zr 3.28-3.55, 2 Th 3.32, 2 Tm 3.39
Tm1 0.0000 0.5000 0.5000  4 Tm 3.10-3.32, 2 Th 3.39, 4 Zr 3.40
Th2 0.0000 0.1405 0.7500  6 Zr 3.28-3.55, 2 Th 3.32, 2 Tm 3.39
Tm2 0.0000 0.5000 0.0000  4 Tm 3.10-3.32, 2 Th 3.39, 4 Zr 3.40
Zr2 0.5000 0.1980 0.2500  6 Th 3.28-3.55, 2 Zr 3.32, 4 Tm 3.40



[5]
A plane-wave DFT calculation with PBE was carried out for Tm2ThZr after structural relaxation.

DOS(E_F)   1.1748 states/eV/atom
Calculated density   9.61 g/cm3
Formation energy from the elements   0.0484 eV/atom

Unit cell a=3.4587 b=3.4587 c=11.2105 alpha=81.13 beta=81.13 gamma=60.00
With the nearest neighbours (Å) after each atom.
Sites, in units of the cell vectors:
Tm1 0.2458 0.2458 0.2625  3 Zr 3.28, 6 Tm 3.46, 3 Th 3.50
Tm2 0.0876 0.0876 0.7371  3 Zr 3.30, 6 Tm 3.46, 3 Th 3.54
Th1 0.6661 0.6661 0.0017  6 Th 3.46, 6 Tm 3.50-3.54
Zr1 0.5004 0.5004 0.4987  6 Tm 3.28-3.30, 6 Zr 3.46



[6]
A plane-wave DFT calculation with PBE was carried out for Tm2ThZr after structural relaxation.

DOS(E_F)   1.6535 states/eV/atom
Calculated density   9.62 g/cm3
Formation energy from the elements   0.0822 eV/atom

Unit cell a=3.4239 b=3.4239 c=11.4124 alpha=81.37 beta=81.37 gamma=60.00
With the nearest neighbours (Å) after each atom.
Sites, in units of the cell vectors:
Th1 0.0000 0.0000 0.0000  6 Th 3.42, 6 Tm 3.57
Tm1 0.7547 0.7547 0.7358  3 Zr 3.31, 6 Tm 3.42, 3 Th 3.57
Tm2 0.2453 0.2453 0.2642  3 Zr 3.31, 6 Tm 3.42, 3 Th 3.57
Zr1 0.5000 0.5000 0.5000  6 Tm 3.31, 6 Zr 3.42



Q: What is the formula in the sixth record?
A: Tm2ThZr